Record 1
{
  "formula": "BaBeBiIr",
  "functional": "GGA-PBE",
  "state": "relaxed",
  "lattice_angstrom": [[-1.287, 2.865, 3.943], [-0.404, 4.996, -0.540], [-4.537, 2.193, 0.149]],
  "species": ["Be", "Ir", "Ba", "Bi"],
  "fractional_positions": [[0.750, 0.750, 0.750], [0.000, 0.000, 0.000], [0.500, 0.500, 0.500], [0.250, 0.250, 0.250]],
  "spacegroup": "F-43m, No. 216",
  "polymorph_energy_ev_per_atom": 0.000
}


Record 2
{
  "formula": "ZnCd",
  "functional": "GGA-PBE",
  "state": "relaxed",
  "lattice_angstrom": [[5.086, 0.000, 0.000], [0.000, 8.833, 0.000], [0.000, 0.000, 4.895]],
  "species": ["Cd", "Cd", "Cd", "Zn", "Zn", "Cd", "Zn", "Zn", "Zn", "Cd", "Cd", "Zn"],
  "fractional_positions": [[0.493, 0.160, 0.000], [0.831, 0.500, 0.500], [0.331, 0.333, 0.500], [0.994, 0.333, 0.000], [0.832, 0.842, 0.500], [0.993, 0.673, 0.000], [0.007, 0.993, 0.000], [0.332, 0.991, 0.500], [0.494, 0.500, 0.000], [0.844, 0.154, 0.500], [0.344, 0.679, 0.500], [0.507, 0.840, 0.000]],
  "formation_energy_ev_per_atom": 0.08,
  "spacegroup": "Pmc2_1, No. 26"
}


Record 3
{
  "formula": "Gd2TmAl3CuGe2",
  "functional": "GGA-PBE",
  "state": "relaxed",
  "lattice_angstrom": [[-0.810, 1.957, 3.619], [6.406, -1.637, 2.318], [-1.026, 5.998, -3.473]],
  "species": ["Cu", "Al", "Gd", "Al", "Gd", "Tm", "Ge", "Al", "Ge"],
  "fractional_positions": [[0.000, 0.005, 0.005], [0.500, 0.002, 0.232], [0.000, 0.999, 0.596], [0.500, 0.232, 0.002], [0.000, 0.596, 0.999], [0.000, 0.402, 0.402], [0.500, 0.334, 0.663], [0.500, 0.767, 0.767], [0.500, 0.663, 0.334]],
  "spacegroup": "Amm2, No. 38",
  "e_tot_ev_per_atom": -4.877
}


Record 4
{
  "formula": "CsAsAu2O4",
  "functional": "GGA-PBE",
  "state": "relaxed",
  "lattice_angstrom": [[0.000, 6.042, 4.856], [5.658, 0.000, 4.856], [5.658, 6.042, 0.000]],
  "species": ["O", "Au", "O", "Au", "O", "As", "O", "As", "O", "O", "Cs", "Au", "Au", "O", "O", "Cs"],
  "fractional_positions": [[0.963, 0.648, 0.732], [0.786, 0.544, 0.684], [0.941, 0.601, 0.183], [0.264, 0.566, 0.706], [0.067, 0.975, 0.309], [0.933, 0.933, 0.567], [0.648, 0.963, 0.657], [0.683, 0.683, 0.317], [0.518, 0.593, 0.287], [0.601, 0.941, 0.275], [0.308, 0.308, 0.192], [0.566, 0.264, 0.464], [0.544, 0.786, 0.986], [0.975, 0.067, 0.649], [0.593, 0.518, 0.602], [0.058, 0.058, 0.942]],
  "spacegroup": "Fdd2, No. 43",
  "e_tot_ev_per_atom": -4.712
}